Entry 1:
The following is a PBEsol calculation of crystalline Li4V3O8 at its relaxed geometry, from the Alexandria database.

abc: 5.5535 5.5535 5.7948
angles: 61.37 61.37 60.00
Last column: nearest neighbours and their distance in Å.
Positions (direct):
Li: 0.0000 0.0000 0.0000  6 O 1.96
Li: 0.5000 0.0000 0.5000  6 O 2.03-2.12
Li: 0.0000 0.5000 0.5000  6 O 2.03-2.12
Li: 0.0000 0.0000 0.5000  6 O 2.03-2.12
V: 0.0000 0.5000 0.0000  6 O 1.90-1.99
V: 0.5000 0.0000 0.0000  6 O 1.90-1.99
V: 0.5000 0.5000 0.0000  6 O 1.90-1.99
O: 0.2522 0.2522 0.2434  3 V 1.99, 3 Li 2.03
O: 0.7478 0.7478 0.7566  3 V 1.99, 3 Li 2.03
O: 0.2704 0.7549 0.2198  2 V 1.90, 3 Li 1.96-2.12
O: 0.7549 0.2704 0.2198  2 V 1.90, 3 Li 1.96-2.12
O: 0.7549 0.7549 0.2198  2 V 1.90, 3 Li 1.96-2.12
O: 0.7296 0.2451 0.7802  2 V 1.90, 3 Li 1.96-2.12
O: 0.2451 0.7296 0.7802  2 V 1.90, 3 Li 1.96-2.12
O: 0.2451 0.2451 0.7802  2 V 1.90, 3 Li 1.96-2.12

Summary:
* symmetry: R-3m, No. 166
* mass density: 3975 kg/m3
* M_tot: 0.0 μB per formula unit
* uncorrected formation energy: -34.2 eV per formula unit



Entry 2:
The following is a PBEsol calculation of crystalline Li4V3O8 at its relaxed geometry, from the Alexandria database.

abc: 5.5668 5.5668 6.0560
angles: 62.64 62.64 60.00
Last column: nearest neighbours and their distance in Å.
Positions (direct):
Li: 0.0000 0.0000 0.0000  6 O 2.14
Li: 0.6419 0.6419 0.0743  4 O 1.85-2.00
Li: 0.5000 0.5000 0.5000  6 O 1.99, 2 Li 2.18
Li: 0.3581 0.3581 0.9257  4 O 1.85-2.00
V: 0.0000 0.0000 0.5000  6 O 1.91-1.95
V: 0.0000 0.5000 0.5000  6 O 1.91-1.95
V: 0.5000 0.0000 0.5000  6 O 1.91-1.95
O: 0.7618 0.7618 0.7145  1 Li 1.85, 3 V 1.95
O: 0.2565 0.2565 0.7115  2 V 1.91, 3 Li 1.99-2.14
O: 0.2565 0.7754 0.7115  2 V 1.91, 3 Li 1.99-2.14
O: 0.7754 0.2565 0.7115  2 V 1.91, 3 Li 1.99-2.14
O: 0.2382 0.2382 0.2855  1 Li 1.85, 3 V 1.95
O: 0.7435 0.7435 0.2885  2 V 1.91, 3 Li 1.99-2.14
O: 0.7435 0.2246 0.2885  2 V 1.91, 3 Li 1.99-2.14
O: 0.2246 0.7435 0.2885  2 V 1.91, 3 Li 1.99-2.14

Summary:
* symmetry: R-3m, No. 166
* mass density: 3720 kg/m3
* M_tot: 0.0 μB per formula unit
* uncorrected formation energy: -34.3 eV per formula unit



Entry 3:
The following is a PBEsol calculation of crystalline LiV2O4 at its relaxed geometry, from the Alexandria database.

abc: 2.8121 4.8449 5.2466
angles: 108.65 90.00 90.00
Last column: nearest neighbours and their distance in Å.
Positions (direct):
Li: 0.5000 0.0000 0.5000  6 O 2.10-2.16
O: 0.5000 0.2371 0.2151  3 V 1.93-1.95, 1 Li 2.16
O: 0.5000 0.7629 0.7849  3 V 1.93-1.95, 1 Li 2.16
O: 0.0000 0.7491 0.2259  3 V 1.95-1.98, 2 Li 2.10
O: 0.0000 0.2509 0.7741  3 V 1.95-1.98, 2 Li 2.10
V: 0.5000 0.5000 0.0000  6 O 1.95-1.98
V: 0.0000 0.0000 0.0000  6 O 1.93-1.95

Summary:
* symmetry: P2/m, No. 10
* mass density: 4237 kg/m3
* M_tot: 2.0 μB per formula unit
* uncorrected formation energy: -16.1 eV per formula unit



Entry 4:
The following is a PBEsol calculation of crystalline Li3V5O10 at its relaxed geometry, from the Alexandria database.

abc: 4.8781 4.8546 7.4284
angles: 71.07 73.76 81.83
Last column: nearest neighbours and their distance in Å.
Positions (direct):
Li: 0.0000 0.5000 0.5000  6 O 1.96-2.08
Li: 0.5017 0.7782 0.4177  6 O 1.99-2.21
Li: 0.4983 0.2218 0.5823  6 O 1.99-2.21
V: 0.5000 0.0000 0.0000  6 O 1.92-1.99
V: 0.9859 0.8638 0.7065  3 O 1.79-1.98
V: 0.0141 0.1362 0.2935  3 O 1.79-1.98
V: 0.9895 0.3450 0.8959  6 O 1.88-2.07
V: 0.0105 0.6550 0.1041  6 O 1.88-2.07
O: 0.2203 0.9662 0.8593  4 V 1.99-2.07, 1 Li 2.21
O: 0.7797 0.0338 0.1407  4 V 1.99-2.07, 1 Li 2.21
O: 0.7752 0.8718 0.5424  1 V 1.79, 1 Li 1.99
O: 0.2248 0.1282 0.4576  1 V 1.79, 1 Li 1.99
O: 0.7229 0.6586 0.9559  4 V 1.92-2.01
O: 0.2771 0.3414 0.0441  4 V 1.92-2.01
O: 0.2393 0.7697 0.2411  3 V 1.94-2.04, 2 Li 2.08-2.09
O: 0.7607 0.2303 0.7589  3 V 1.94-2.04, 2 Li 2.08-2.09
O: 0.2359 0.5511 0.6598  2 V 1.87-1.88, 3 Li 1.96-2.03
O: 0.7641 0.4489 0.3402  2 V 1.87-1.88, 3 Li 1.96-2.03

Summary:
* symmetry: P-1, No. 2
* mass density: 4534 kg/m3
* M_tot: 0.1 μB per formula unit
* uncorrected formation energy: -41.7 eV per formula unit



Entry 5:
The following is a PBEsol calculation of crystalline LiV2O4 at its relaxed geometry, from the Alexandria database.

abc: 5.7590 5.7590 5.7590
angles: 89.97 60.02 119.98
Last column: nearest neighbours and their distance in Å.
Positions (direct):
Li: 0.2500 0.1250 0.1250  4 O 1.90
Li: 0.7500 0.8750 0.8750  4 O 1.90
V: 0.5000 0.0000 0.5000  6 O 1.96
V: 0.0000 0.5000 0.5000  6 O 1.96
V: 0.0000 0.5000 0.0000  6 O 1.96
V: 0.5000 0.5000 0.5000  6 O 1.96
O: 0.0194 0.7405 0.7401  1 Li 1.90, 3 V 1.96
O: 0.4806 0.7405 0.2789  1 Li 1.90, 3 V 1.96
O: 0.9806 0.2595 0.2599  1 Li 1.90, 3 V 1.96
O: 0.5194 0.2595 0.7211  1 Li 1.90, 3 V 1.96
O: 0.5194 0.2599 0.2595  1 Li 1.90, 3 V 1.96
O: 0.0194 0.2789 0.7405  1 Li 1.90, 3 V 1.96
O: 0.4806 0.7401 0.7405  1 Li 1.90, 3 V 1.96
O: 0.9806 0.7211 0.2595  1 Li 1.90, 3 V 1.96

Summary:
* symmetry: Fd-3m, No. 227
* mass density: 4248 kg/m3
* M_tot: 2.5 μB per formula unit
* uncorrected formation energy: -16.4 eV per formula unit



Entry 6:
The following is a PBEsol calculation of crystalline LiV2O4 at its relaxed geometry, from the Alexandria database.

abc: 4.9598 5.2399 5.7092
angles: 90.00 90.00 86.59
Last column: nearest neighbours and their distance in Å.
Positions (direct):
Li: 0.7863 0.9451 0.2500  3 O 1.89-2.02
Li: 0.2137 0.0549 0.7500  3 O 1.89-2.02
V: 0.0000 0.5000 0.0000  6 O 1.94-1.97
V: 0.4856 0.4903 0.2500  6 O 1.94-1.99
V: 0.0000 0.5000 0.5000  6 O 1.94-1.97
V: 0.5144 0.5097 0.7500  6 O 1.94-1.99
O: 0.3452 0.2986 0.9921  3 V 1.94-1.99, 1 Li 2.02
O: 0.6548 0.7014 0.0079  3 V 1.94-1.99, 1 Li 2.02
O: 0.8392 0.2997 0.2500  1 Li 1.89, 3 V 1.97
O: 0.1444 0.7032 0.2500  3 V 1.94-1.97, 1 Li 2.12
O: 0.3452 0.2986 0.5079  3 V 1.94-1.99, 1 Li 2.02
O: 0.6548 0.7014 0.4921  3 V 1.94-1.99, 1 Li 2.02
O: 0.8556 0.2968 0.7500  3 V 1.94-1.97, 1 Li 2.12
O: 0.1608 0.7003 0.7500  1 Li 1.89, 3 V 1.97

Summary:
* symmetry: P2_1/m, No. 11
* mass density: 3875 kg/m3
* M_tot: 3.0 μB per formula unit
* uncorrected formation energy: -16.1 eV per formula unit



Entry 7:
The following is a PBEsol calculation of crystalline Li2V5O10 at its relaxed geometry, from the Alexandria database.

abc: 4.8375 4.9354 14.0630
angles: 91.93 103.36 100.04
Last column: nearest neighbours and their distance in Å.
Positions (direct):
V: 0.0259 0.2792 0.2533  5 O 1.83-1.98
V: 0.9741 0.7208 0.7467  5 O 1.83-1.98
V: 0.4839 0.5170 0.3977  4 O 1.78-1.98
V: 0.5056 0.0202 0.9142  4 O 1.77-1.96
V: 0.5161 0.4830 0.6023  4 O 1.78-1.98
V: 0.4944 0.9798 0.0858  4 O 1.77-1.96
V: 0.4970 0.9488 0.3115  4 O 1.78-1.90
V: 0.4939 0.4913 0.7882  6 O 1.91-2.05
V: 0.5030 0.0512 0.6885  4 O 1.78-1.90
V: 0.5061 0.5087 0.2118  6 O 1.91-2.05
O: 0.7372 0.3523 0.3253  4 V 1.98-2.10
O: 0.7218 0.8550 0.8176  3 V 1.91-2.12
O: 0.2628 0.6477 0.6747  4 V 1.98-2.10
O: 0.2782 0.1450 0.1824  3 V 1.91-2.12
O: 0.2722 0.5849 0.4809  2 V 1.78-1.97, 2 Li 1.94-1.99
O: 0.2491 0.1018 0.9842  2 V 1.83-1.84, 1 Li 1.90
O: 0.7278 0.4151 0.5191  2 V 1.78-1.97, 2 Li 1.94-1.99
O: 0.7509 0.8982 0.0158  2 V 1.83-1.84, 1 Li 1.90
O: 0.2128 0.6403 0.2782  3 V 1.83-2.05
O: 0.2644 0.1098 0.7742  2 V 1.90-1.99
O: 0.7872 0.3597 0.7218  3 V 1.83-2.05
O: 0.7356 0.8902 0.2258  2 V 1.90-1.99
O: 0.7459 0.8615 0.6346  3 V 1.89-1.98
O: 0.7531 0.3312 0.1366  3 V 1.91-2.05, 1 Li 2.04
O: 0.2541 0.1385 0.3654  3 V 1.89-1.98
O: 0.2469 0.6688 0.8634  3 V 1.91-2.05, 1 Li 2.04
O: 0.7347 0.8707 0.4196  2 V 1.78-1.91, 2 Li 1.97-1.98
O: 0.7000 0.3559 0.9083  2 V 1.77-1.95
O: 0.2653 0.1293 0.5804  2 V 1.78-1.91, 2 Li 1.97-1.98
O: 0.3000 0.6441 0.0917  2 V 1.77-1.95
Li: 0.0093 0.7675 0.5330  4 O 1.94-1.99
Li: 0.0099 0.2847 0.0433  4 O 1.90-2.06
Li: 0.9907 0.2325 0.4670  4 O 1.94-1.99
Li: 0.9901 0.7153 0.9567  4 O 1.90-2.06

Summary:
* symmetry: P-1, No. 2
* mass density: 4438 kg/m3
* M_tot: 0.0 μB per formula unit
* uncorrected formation energy: -39.5 eV per formula unit



Entry 8:
The following is a PBEsol calculation of crystalline LiVO2 at its relaxed geometry, from the Alexandria database.

abc: 3.9510 3.9510 4.9080
angles: 113.74 113.74 90.00
Last column: nearest neighbours and their distance in Å.
Positions (direct):
Li: 0.5000 0.5000 0.0000  6 O 1.98-2.01
Li: 0.7500 0.2500 0.5000  6 O 1.98-2.01
O: 0.9988 0.4988 0.9975  3 Li 1.98-2.01, 3 V 1.98-2.03
O: 0.2512 0.2512 0.5025  3 Li 1.98-2.01, 3 V 1.98-2.03
O: 0.5012 0.0012 0.0025  3 V 1.98-2.03, 3 Li 1.98-2.01
O: 0.7488 0.7488 0.4975  3 Li 1.98-2.01, 3 V 1.98-2.03
V: 0.2500 0.7500 0.5000  6 O 1.98-2.03
V: 0.0000 0.0000 0.0000  6 O 1.98-2.03

Summary:
* symmetry: I4_1/amd, No. 141
* mass density: 4739 kg/m3
* M_tot: 0.0 μB per formula unit
* uncorrected formation energy: -9.0 eV per formula unit



Entry 9:
The following is a PBEsol calculation of crystalline LiVO3 at its relaxed geometry, from the Alexandria database.

abc: 4.7038 5.0565 4.8668
angles: 84.02 77.05 62.28
Last column: nearest neighbours and their distance in Å.
Positions (direct):
Li: 0.1519 0.6962 0.0000  6 O 2.02-2.22
Li: 0.8481 0.3038 0.0000  6 O 2.02-2.22
O: 0.7037 0.0000 0.2923  2 V 1.85
O: 0.2963 0.0000 0.7077  2 V 1.85
O: 0.4606 0.5970 0.2704  2 V 1.81-1.94, 1 Li 2.02
O: 0.9424 0.5970 0.7296  2 V 1.81-1.94, 1 Li 2.02
O: 0.5394 0.4030 0.7296  2 V 1.81-1.94, 1 Li 2.02
O: 0.0576 0.4030 0.2704  2 V 1.81-1.94, 1 Li 2.02
V: 0.3451 0.3098 0.5000  6 O 1.81-1.94
V: 0.6549 0.6902 0.5000  6 O 1.81-1.94

Summary:
* symmetry: C2/m, No. 12
* mass density: 3521 kg/m3
* M_tot: 0.0 μB per formula unit
* uncorrected formation energy: -11.3 eV per formula unit



Entry 10:
The following is a PBEsol calculation of crystalline Li4V5O10 at its relaxed geometry, from the Alexandria database.

abc: 4.9918 4.8581 7.4333
angles: 70.47 72.82 81.29
Last column: nearest neighbours and their distance in Å.
Positions (direct):
Li: 0.5074 0.7781 0.4292  4 O 1.93-2.06
Li: 0.9890 0.4964 0.5050  6 O 2.00-2.10
Li: 0.4845 0.3998 0.2229  5 O 1.90-2.05
Li: 0.5013 0.2108 0.5967  6 O 2.02-2.13
V: 0.9932 0.8588 0.7095  4 O 1.82-2.03
V: 0.4939 0.0083 0.9968  6 O 1.91-2.04
V: 0.9943 0.3483 0.8954  6 O 1.88-2.09
V: 0.0084 0.6578 0.0970  6 O 1.92-2.12
V: 0.0099 0.1283 0.2900  5 O 1.83-2.02
O: 0.2218 0.9695 0.8568  4 V 2.00-2.07, 1 Li 2.11
O: 0.7820 0.8723 0.5438  2 V 1.82-2.00, 2 Li 1.99-2.02
O: 0.7197 0.6568 0.9596  4 V 1.95-2.00, 1 Li 2.05
O: 0.2379 0.7579 0.2399  3 V 1.98-2.06, 2 Li 1.99-2.10
O: 0.2398 0.5499 0.6552  2 V 1.87-1.88, 3 Li 1.93-2.02
O: 0.7587 0.4443 0.3412  2 V 1.90-1.93, 4 Li 1.90-2.06
O: 0.7660 0.2285 0.7611  3 V 1.96-2.06, 2 Li 2.02-2.07
O: 0.2804 0.3528 0.0392  4 V 1.91-2.03, 1 Li 2.01
O: 0.2302 0.1313 0.4473  1 V 1.83, 2 Li 1.97-2.05
O: 0.7690 0.0392 0.1434  4 V 2.02-2.12, 2 Li 2.21

Summary:
* symmetry: P1, No. 1
* mass density: 4534 kg/m3
* M_tot: 1.0 μB per formula unit
* uncorrected formation energy: -43.8 eV per formula unit



Entry 11:
The following is a PBEsol calculation of crystalline Li3V2O6 at its relaxed geometry, from the Alexandria database.

abc: 4.8648 4.9092 5.1263
angles: 100.36 102.99 117.55
Last column: nearest neighbours and their distance in Å.
Positions (direct):
Li: 0.0043 0.5004 0.9998  6 O 1.98-2.11
Li: 0.6752 0.8767 0.9671  5 O 1.99-2.05
Li: 0.3334 0.1240 0.0324  5 O 1.99-2.05
O: 0.8036 0.2975 0.2621  2 V 1.88-1.97, 3 Li 1.98-2.05
O: 0.2051 0.7032 0.7374  2 V 1.88-1.97, 3 Li 1.98-2.05
O: 0.9569 0.0844 0.7389  2 V 1.81-1.97, 1 Li 2.00
O: 0.4306 0.5582 0.2770  1 V 1.73
O: 0.5782 0.4426 0.7224  1 V 1.73
O: 0.0518 0.9164 0.2606  2 V 1.81-1.96, 1 Li 2.00
V: 0.8345 0.6791 0.4592  3 O 1.73-1.88
V: 0.1742 0.3215 0.5402  3 O 1.73-1.88

Summary:
* symmetry: P-1, No. 2
* mass density: 3636 kg/m3
* M_tot: 1.0 μB per formula unit
* uncorrected formation energy: -25.4 eV per formula unit



Entry 12:
The following is a PBEsol calculation of crystalline Li2V5O10 at its relaxed geometry, from the Alexandria database.

abc: 4.9198 4.8714 7.5935
angles: 75.67 76.10 79.74
Last column: nearest neighbours and their distance in Å.
Positions (direct):
Li: 0.5161 0.7694 0.3974  4 O 1.96-2.06
Li: 0.4844 0.2313 0.6022  4 O 1.96-2.06
V: 0.5001 0.9997 0.0000  6 O 1.94-1.99
V: 0.0120 0.9077 0.6749  4 O 1.79-1.92
V: 0.9882 0.0924 0.3250  4 O 1.79-1.92
V: 0.9944 0.3283 0.9004  5 O 1.82-2.00
V: 0.0053 0.6718 0.0996  5 O 1.82-2.00
O: 0.2162 0.9522 0.8662  4 V 1.99-2.12
O: 0.7835 0.0477 0.1340  4 V 1.99-2.12
O: 0.7645 0.8975 0.5194  2 V 1.79-1.90, 1 Li 1.96
O: 0.2358 0.1026 0.4806  2 V 1.79-1.90, 1 Li 1.96
O: 0.7509 0.6694 0.9355  3 V 1.90-1.97
O: 0.2487 0.3302 0.0645  3 V 1.91-1.97
O: 0.2557 0.8051 0.2225  3 V 1.92-1.99, 1 Li 2.02
O: 0.7443 0.1946 0.7776  3 V 1.92-1.99, 1 Li 2.02
O: 0.1895 0.5380 0.6903  2 V 1.82-1.85, 1 Li 2.01
O: 0.8104 0.4621 0.3098  2 V 1.82-1.85, 1 Li 2.01

Summary:
* symmetry: P-1, No. 2
* mass density: 4191 kg/m3
* M_tot: 4.9 μB per formula unit
* uncorrected formation energy: -38.9 eV per formula unit



Question: The lowest mass density belongs to which entry?
Answer: LiVO3